1.
First-principles (meta-GGA SCAN) data for Rb2CuH12Se2O14 at its PBEsol-relaxed geometry, as listed in Alexandria.

Cell and atoms, written as POSCAR:
```
Rb2CuH12Se2O14
1.0
-0.095 -6.182 -1.202
8.217 1.362 4.222
-5.311 -2.057 11.000
H O Rb Se Cu
24 28 4 4 2
direct
0.311 0.187 0.913 H
0.327 0.403 0.444 H
0.082 0.726 0.624 H
0.689 0.813 0.087 H
0.997 0.825 0.809 H
0.919 0.705 0.901 H
0.082 0.226 0.876 H
0.311 0.687 0.587 H
0.313 0.536 0.363 H
0.918 0.774 0.124 H
0.003 0.175 0.191 H
0.673 0.097 0.944 H
0.919 0.205 0.599 H
0.673 0.597 0.556 H
0.081 0.295 0.099 H
0.003 0.675 0.309 H
0.687 0.464 0.637 H
0.313 0.036 0.137 H
0.687 0.964 0.863 H
0.689 0.313 0.413 H
0.327 0.903 0.056 H
0.081 0.795 0.401 H
0.997 0.325 0.691 H
0.918 0.274 0.376 H
0.156 0.144 0.889 O
0.246 0.461 0.064 O
0.028 0.799 0.884 O
0.967 0.358 0.828 O
0.583 0.746 0.564 O
0.033 0.142 0.328 O
0.754 0.539 0.936 O
0.420 0.101 0.252 O
0.246 0.961 0.436 O
0.717 0.501 0.561 O
0.972 0.201 0.116 O
0.420 0.601 0.248 O
0.844 0.356 0.389 O
0.967 0.858 0.672 O
0.972 0.701 0.384 O
0.580 0.399 0.752 O
0.583 0.246 0.936 O
0.717 0.001 0.939 O
0.580 0.899 0.748 O
0.283 0.499 0.439 O
0.417 0.254 0.436 O
0.283 0.999 0.061 O
0.033 0.642 0.172 O
0.417 0.754 0.064 O
0.754 0.039 0.564 O
0.844 0.856 0.111 O
0.028 0.299 0.616 O
0.156 0.644 0.611 O
0.342 0.620 0.845 Rb
0.342 0.120 0.655 Rb
0.658 0.380 0.155 Rb
0.658 0.880 0.345 Rb
0.724 0.387 0.862 Se
0.276 0.113 0.362 Se
0.276 0.613 0.138 Se
0.724 0.887 0.638 Se
0.000 0.000 0.000 Cu
0.000 0.500 0.500 Cu
```

## Properties
Space group   P2_1/c (14)

***

2.
First-principles (meta-GGA SCAN) data for Tb2CuH4S2O12 at its PBEsol-relaxed geometry, as listed in Alexandria.

Cell and atoms, written as POSCAR:
```
Tb2CuH4S2O12
1.0
6.227 0.000 0.009
0.000 6.618 0.000
-1.445 0.000 10.553
H O S Tb Cu
8 24 4 4 2
direct
0.256 0.213 0.622 H
0.744 0.713 0.878 H
0.744 0.787 0.378 H
0.256 0.287 0.122 H
0.719 0.623 0.113 H
0.719 0.877 0.613 H
0.281 0.123 0.387 H
0.281 0.377 0.887 H
0.424 0.640 0.077 O
0.576 0.140 0.423 O
0.751 0.194 0.756 O
0.249 0.806 0.244 O
0.876 0.842 0.628 O
0.449 0.034 0.838 O
0.751 0.306 0.256 O
0.124 0.158 0.372 O
0.551 0.966 0.162 O
0.124 0.342 0.872 O
0.196 0.559 0.539 O
0.576 0.360 0.923 O
0.892 0.818 0.363 O
0.551 0.534 0.662 O
0.804 0.441 0.461 O
0.196 0.941 0.039 O
0.108 0.182 0.637 O
0.804 0.059 0.961 O
0.892 0.682 0.863 O
0.424 0.860 0.577 O
0.876 0.658 0.128 O
0.108 0.318 0.137 O
0.449 0.466 0.338 O
0.249 0.694 0.744 O
0.636 0.168 0.871 S
0.364 0.832 0.129 S
0.364 0.668 0.629 S
0.636 0.332 0.371 S
0.075 0.992 0.818 Tb
0.925 0.492 0.682 Tb
0.925 0.008 0.182 Tb
0.075 0.508 0.318 Tb
0.000 0.500 0.000 Cu
0.000 0.000 0.500 Cu
```

## Properties
Space group   P2_1/c (14)

***

3.
First-principles (meta-GGA SCAN) data for Zn3Cu2H14S2O18 at its PBEsol-relaxed geometry, as listed in Alexandria.

Cell and atoms, written as POSCAR:
```
Zn3Cu2H14S2O18
1.0
5.356 0.032 0.179
0.001 6.314 -0.163
0.302 -1.089 10.493
O Zn H S Cu
18 3 14 2 2
direct
0.205 0.280 0.641 O
0.795 0.720 0.359 O
0.220 0.208 0.112 O
0.307 0.779 0.985 O
0.328 0.482 0.413 O
0.879 0.230 0.409 O
0.511 0.308 0.802 O
0.693 0.221 0.015 O
0.121 0.770 0.591 O
0.328 0.985 0.412 O
0.489 0.692 0.198 O
0.672 0.518 0.587 O
0.097 0.464 0.855 O
0.903 0.536 0.145 O
0.672 0.015 0.588 O
0.780 0.792 0.888 O
0.853 0.922 0.180 O
0.147 0.078 0.820 O
0.513 0.247 0.486 Zn
0.000 0.000 0.000 Zn
0.487 0.753 0.514 Zn
0.148 0.355 0.126 H
0.335 0.934 0.320 H
0.660 0.502 0.679 H
0.599 0.788 0.920 H
0.075 0.810 0.683 H
0.925 0.190 0.317 H
0.665 0.066 0.680 H
0.760 0.357 0.061 H
0.340 0.498 0.321 H
0.360 0.746 0.071 H
0.640 0.254 0.929 H
0.240 0.643 0.939 H
0.852 0.645 0.874 H
0.401 0.212 0.080 H
0.761 0.718 0.219 S
0.239 0.282 0.781 S
0.000 0.000 0.500 Cu
0.000 0.500 0.500 Cu
```

## Properties
Space group   P-1 (2)

***

4.
First-principles (meta-GGA SCAN) data for CuH10SeO9 at its PBEsol-relaxed geometry, as listed in Alexandria.

Cell and atoms, written as POSCAR:
```
CuH10SeO9
1.0
-0.980 3.464 4.820
-1.258 -3.727 4.606
9.681 -1.366 4.787
H Se O Cu
20 2 18 2
direct
0.809 0.703 0.866 H
0.643 0.147 0.883 H
0.146 0.426 0.626 H
0.854 0.574 0.374 H
0.566 0.704 0.705 H
0.178 0.313 0.374 H
0.822 0.687 0.626 H
0.181 0.622 0.694 H
0.730 0.111 0.642 H
0.819 0.378 0.306 H
0.639 0.797 0.083 H
0.191 0.297 0.134 H
0.745 0.275 0.501 H
0.357 0.853 0.117 H
0.270 0.889 0.358 H
0.361 0.203 0.917 H
0.085 0.589 0.112 H
0.434 0.296 0.295 H
0.255 0.725 0.499 H
0.915 0.411 0.888 H
0.104 0.012 0.784 Se
0.896 0.988 0.216 Se
0.881 0.830 0.111 O
0.890 0.398 0.379 O
0.643 0.193 0.566 O
0.770 0.548 0.887 O
0.491 0.772 0.062 O
0.649 0.718 0.619 O
0.841 0.851 0.362 O
0.230 0.452 0.113 O
0.119 0.170 0.889 O
0.283 0.742 0.810 O
0.717 0.258 0.190 O
0.830 0.984 0.797 O
0.357 0.807 0.434 O
0.351 0.282 0.381 O
0.110 0.602 0.621 O
0.170 0.016 0.203 O
0.509 0.228 0.938 O
0.159 0.149 0.638 O
0.500 0.000 0.500 Cu
0.500 0.500 0.000 Cu
```

## Properties
Space group   P-1 (2)

***

5.
First-principles (meta-GGA SCAN) data for CuH6Se2O8 at its PBEsol-relaxed geometry, as listed in Alexandria.

Cell and atoms, written as POSCAR:
```
CuH6Se2O8
1.0
-0.650 4.879 -3.547
0.321 -3.581 -4.984
-8.952 -0.991 0.277
H O Se Cu
12 16 4 2
direct
0.469 0.762 0.035 H
0.304 0.635 0.924 H
0.031 0.762 0.535 H
0.763 0.407 0.845 H
0.531 0.238 0.965 H
0.263 0.593 0.655 H
0.804 0.365 0.576 H
0.196 0.635 0.424 H
0.737 0.407 0.345 H
0.696 0.365 0.076 H
0.237 0.593 0.155 H
0.969 0.238 0.465 H
0.813 0.288 0.477 O
0.536 0.900 0.300 O
0.313 0.712 0.023 O
0.964 0.900 0.800 O
0.687 0.288 0.977 O
0.036 0.100 0.200 O
0.170 0.512 0.248 O
0.271 0.207 0.431 O
0.670 0.488 0.252 O
0.830 0.488 0.752 O
0.187 0.712 0.523 O
0.464 0.100 0.700 O
0.771 0.793 0.069 O
0.229 0.207 0.931 O
0.330 0.512 0.748 O
0.729 0.793 0.569 O
0.273 0.239 0.242 Se
0.227 0.239 0.742 Se
0.727 0.761 0.758 Se
0.773 0.761 0.258 Se
0.000 0.000 0.000 Cu
0.500 0.000 0.500 Cu
```

## Properties
Space group   P2_1/c (14)

***

6.
First-principles (meta-GGA SCAN) data for CuH2SeO5 at its PBEsol-relaxed geometry, as listed in Alexandria.

Cell and atoms, written as POSCAR:
```
CuH2SeO5
1.0
-3.299 -0.751 -3.840
4.370 -2.696 -2.027
-2.178 -4.421 5.661
O H Se Cu
10 4 2 2
direct
0.702 0.193 0.363 O
0.862 0.611 0.718 O
0.327 0.181 0.963 O
0.673 0.819 0.037 O
0.782 0.189 0.843 O
0.685 0.696 0.367 O
0.138 0.389 0.282 O
0.218 0.811 0.157 O
0.315 0.304 0.633 O
0.298 0.807 0.637 O
0.030 0.664 0.676 H
0.885 0.463 0.773 H
0.115 0.537 0.227 H
0.970 0.336 0.324 H
0.575 0.889 0.233 Se
0.425 0.111 0.767 Se
0.500 0.500 0.500 Cu
0.000 0.000 0.000 Cu
```

## Properties
Space group   P-1 (2)

***

7.
First-principles (meta-GGA SCAN) data for CuH2Se2O6 at its PBEsol-relaxed geometry, as listed in Alexandria.

Cell and atoms, written as POSCAR:
```
CuH2Se2O6
1.0
-4.165 -3.795 -1.696
-0.191 -1.926 5.991
-5.081 4.939 1.426
O Se H Cu
12 4 4 2
direct
0.455 0.530 0.235 O
0.117 0.296 0.524 O
0.545 0.470 0.765 O
0.168 0.749 0.046 O
0.883 0.704 0.476 O
0.332 0.751 0.546 O
0.617 0.796 0.976 O
0.955 0.030 0.265 O
0.832 0.251 0.954 O
0.383 0.204 0.024 O
0.045 0.970 0.735 O
0.668 0.249 0.454 O
0.082 0.711 0.664 Se
0.582 0.211 0.836 Se
0.918 0.289 0.336 Se
0.418 0.789 0.164 Se
0.912 0.838 0.393 H
0.088 0.162 0.607 H
0.412 0.338 0.107 H
0.588 0.662 0.893 H
0.000 0.000 0.000 Cu
0.500 0.500 0.500 Cu
```

## Properties
Space group   P2_1/c (14)

***

8.
First-principles (meta-GGA SCAN) data for Tl2CuH12Se2O14 at its PBEsol-relaxed geometry, as listed in Alexandria.

Cell and atoms, written as POSCAR:
```
Tl2CuH12Se2O14
1.0
6.277 0.008 0.000
-2.242 9.001 0.000
0.000 0.000 12.317
O Cu H Tl Se
28 2 24 4 4
direct
0.717 0.501 0.561 O
0.963 0.703 0.381 O
0.423 0.103 0.251 O
0.037 0.797 0.881 O
0.156 0.146 0.891 O
0.968 0.362 0.829 O
0.032 0.638 0.171 O
0.584 0.249 0.940 O
0.577 0.897 0.749 O
0.963 0.203 0.119 O
0.032 0.138 0.329 O
0.416 0.251 0.440 O
0.283 0.499 0.439 O
0.968 0.862 0.671 O
0.423 0.603 0.249 O
0.037 0.297 0.619 O
0.577 0.397 0.751 O
0.717 0.001 0.939 O
0.751 0.545 0.935 O
0.249 0.955 0.435 O
0.283 0.999 0.061 O
0.751 0.045 0.565 O
0.844 0.354 0.391 O
0.844 0.854 0.109 O
0.249 0.455 0.065 O
0.584 0.749 0.560 O
0.416 0.751 0.060 O
0.156 0.646 0.609 O
0.000 0.500 0.500 Cu
0.000 0.000 0.000 Cu
0.083 0.730 0.623 H
0.006 0.825 0.806 H
0.688 0.811 0.085 H
0.328 0.902 0.056 H
0.316 0.036 0.137 H
0.006 0.325 0.694 H
0.312 0.689 0.585 H
0.917 0.270 0.377 H
0.994 0.175 0.194 H
0.312 0.189 0.915 H
0.328 0.402 0.444 H
0.079 0.295 0.101 H
0.672 0.098 0.944 H
0.921 0.205 0.601 H
0.083 0.230 0.877 H
0.917 0.770 0.123 H
0.688 0.311 0.415 H
0.316 0.536 0.363 H
0.684 0.964 0.863 H
0.672 0.598 0.556 H
0.079 0.795 0.399 H
0.921 0.705 0.899 H
0.684 0.464 0.637 H
0.994 0.675 0.306 H
0.336 0.628 0.846 Tl
0.336 0.128 0.654 Tl
0.664 0.372 0.154 Tl
0.664 0.872 0.346 Tl
0.723 0.390 0.863 Se
0.277 0.610 0.137 Se
0.277 0.110 0.363 Se
0.723 0.890 0.637 Se
```

## Properties
Space group   P2_1/c (14)

***

9.
First-principles (meta-GGA SCAN) data for Cu2PH at its PBEsol-relaxed geometry, as listed in Alexandria.

Cell and atoms, written as POSCAR:
```
Cu2PH
1.0
3.878 0.000 0.000
1.939 3.359 0.000
1.939 1.120 3.166
P Cu H
1 2 1
direct
0.500 0.500 0.500 P
0.250 0.250 0.250 Cu
0.750 0.750 0.750 Cu
0.000 0.000 0.000 H
```

## Properties
Space group   Fm-3m (225)

***

10.
First-principles (meta-GGA SCAN) data for CuHPb2S at its PBEsol-relaxed geometry, as listed in Alexandria.

Cell and atoms, written as POSCAR:
```
CuHPb2S
1.0
3.169 0.000 0.000
0.000 5.612 0.000
0.000 0.000 5.612
S Pb H Cu
1 2 1 1
direct
0.000 0.000 0.000 S
0.000 0.500 0.000 Pb
0.000 0.000 0.500 Pb
0.500 0.000 0.000 H
0.500 0.500 0.500 Cu
```

## Properties
Space group   P4/mmm (123)

***

11.
First-principles (meta-GGA SCAN) data for Y2CuHPb at its PBEsol-relaxed geometry, as listed in Alexandria.

Cell and atoms, written as POSCAR:
```
Y2CuHPb
1.0
-0.976 0.047 4.480
-2.454 -3.842 -0.494
3.755 -2.506 0.845
H Cu Pb Y
1 1 1 2
direct
0.000 0.000 0.000 H
0.500 0.500 0.500 Cu
0.000 0.000 0.500 Pb
0.500 0.000 0.000 Y
0.000 0.500 0.000 Y
```

## Properties
Space group   P4/mmm (123)

***

12.
First-principles (meta-GGA SCAN) data for Cu2H2Pd at its PBEsol-relaxed geometry, as listed in Alexandria.

Cell and atoms, written as POSCAR:
```
Cu2H2Pd
1.0
3.635 0.000 0.000
0.000 3.635 0.000
0.000 0.000 3.685
Cu Pd H
2 1 2
direct
0.500 0.000 0.500 Cu
0.000 0.500 0.500 Cu
0.000 0.000 0.000 Pd
0.000 0.500 0.000 H
0.500 0.000 0.000 H
```

## Properties
Space group   P4/mmm (123)

***

It is found that the VASP energy values, taken in the order of the records, are -8.40, -12.35, -7.68, -6.97, -8.36, -9.01, -9.96, -11.58, -10.57, -35.74, -30.20, -13.98 eV per atom.